(1)
First-principles (PBE) data for an optimized crystal structure of Y2TmMg3Tl2Hg, as listed in OQMD via LeMat-Bulk.

The structure in POSCAR format:
```
Y2TmMg3Tl2Hg
1.0
4.589 0.000 0.000
0.000 6.474 3.762
0.000 -6.474 3.762
Y Tm Mg Tl Hg
2 1 3 2 1
Direct
0.000 0.211 0.789
0.000 0.789 0.211
0.000 0.632 0.632
0.500 0.212 0.451
0.500 0.451 0.212
0.500 0.974 0.974
0.500 0.545 0.876
0.500 0.876 0.545
0.000 0.216 0.216
```

Output
Energy in eV/atom: -3.39

(2)
First-principles (PBE) data for an optimized crystal structure of GdYI2N, as listed in OQMD via LeMat-Bulk.

The structure in POSCAR format:
```
GdYI2N
1.0
3.798 0.000 0.000
-1.899 3.289 0.000
0.000 0.000 10.877
Gd Y I N
1 1 2 1
Direct
0.000 0.000 0.000
0.333 0.667 0.234
0.000 0.000 0.433
0.333 0.667 0.799
0.667 0.333 0.120
```

Output
Energy in eV/atom: -5.89